# OsRuO3 PBE optimized geometry
data_OsRuO3
_chemical_formula_sum 'Os1 Ru1 O3'
_cell_length_a 3.878
_cell_length_b 3.878
_cell_length_c 3.878
_cell_angle_alpha 90.00
_cell_angle_beta 90.00
_cell_angle_gamma 90.00
_space_group_name_H-M_alt 'P m -3 m'
_space_group_IT_number 221
_space_group_name_Hall '-P 4 2 3'
loop_
_atom_site_label
_atom_site_type_symbol
_atom_site_fract_x
_atom_site_fract_y
_atom_site_fract_z
Os1 Os 0.000 0.000 0.000
Ru1 Ru 0.500 0.500 0.500
O1 O 0.000 0.000 0.500
# formation energy (no corrections) = 97 meV per atom
# DOS(E_F) = 4.066 states/eV per cell


# OsRuO6 PBE optimized geometry
data_OsRuO6
_chemical_formula_sum 'Os3 Ru3 O18'
_cell_length_a 5.1100
_cell_length_b 5.1100
_cell_length_c 13.0893
_cell_angle_alpha 90.00
_cell_angle_beta 90.00
_cell_angle_gamma 120.00
_space_group_name_H-M_alt 'R -3'
_space_group_IT_number 148
_space_group_name_Hall '-R 3'
loop_
_atom_site_label
_atom_site_type_symbol
_atom_site_fract_x
_atom_site_fract_y
_atom_site_fract_z
Os1 Os 0.0000 0.0000 0.0000
Ru1 Ru 0.0000 0.0000 0.5000
O1 O 0.0044 0.4044 0.7485
# formation energy (no corrections) = -821 meV per atom
# DOS(E_F) = 16.203 states/eV per cell


# OsRu2O6 PBE optimized geometry
data_OsRu2O6
_chemical_formula_sum 'Os2 Ru4 O12'
_cell_length_a 4.545
_cell_length_b 4.545
_cell_length_c 9.482
_cell_angle_alpha 90.00
_cell_angle_beta 90.00
_cell_angle_gamma 90.00
_space_group_name_H-M_alt 'P 42/m n m'
_space_group_IT_number 136
_space_group_name_Hall '-P 4n 2n'
loop_
_atom_site_label
_atom_site_type_symbol
_atom_site_fract_x
_atom_site_fract_y
_atom_site_fract_z
Os1 Os 0.000 0.000 0.000
Ru1 Ru 0.000 0.000 0.333
O1 O 0.191 0.191 0.164
O2 O 0.198 0.198 0.500
# formation energy (no corrections) = -975 meV per atom
# DOS(E_F) = 11.997 states/eV per cell


# OsRuO2 PBE optimized geometry
data_OsRuO2
_chemical_formula_sum 'Os4 Ru4 O8'
_cell_length_a 4.663
_cell_length_b 4.663
_cell_length_c 9.290
_cell_angle_alpha 90.00
_cell_angle_beta 90.00
_cell_angle_gamma 90.00
_space_group_name_H-M_alt 'I -4 2 d'
_space_group_IT_number 122
_space_group_name_Hall 'I -4 2bw'
loop_
_atom_site_label
_atom_site_type_symbol
_atom_site_fract_x
_atom_site_fract_y
_atom_site_fract_z
Os1 Os 0.000 0.000 0.000
Ru1 Ru 0.000 0.000 0.500
O1 O 0.245 0.250 0.125
# formation energy (no corrections) = 255 meV per atom
# offset from the most stable computed form = 577 meV per atom
# DOS(E_F) = 3.354 states/eV per cell


# Os4Ru2O PBE optimized geometry
data_Os4Ru2O
_chemical_formula_sum 'Os8 Ru4 O2'
_cell_length_a 3.973
_cell_length_b 3.973
_cell_length_c 12.933
_cell_angle_alpha 90.00
_cell_angle_beta 90.00
_cell_angle_gamma 90.00
_space_group_name_H-M_alt 'I 4/m m m'
_space_group_IT_number 139
_space_group_name_Hall '-I 4 2'
loop_
_atom_site_label
_atom_site_type_symbol
_atom_site_fract_x
_atom_site_fract_y
_atom_site_fract_z
Os1 Os 0.000 0.000 0.171
Os2 Os 0.000 0.500 0.000
Ru1 Ru 0.000 0.000 0.349
O1 O 0.000 0.000 0.000
# formation energy (no corrections) = 941 meV per atom
# DOS(E_F) = 13.011 states/eV per cell


# OsRu2O PBE optimized geometry
data_OsRu2O
_chemical_formula_sum 'Os4 Ru8 O4'
_cell_length_a 5.145
_cell_length_b 5.145
_cell_length_c 9.844
_cell_angle_alpha 90.00
_cell_angle_beta 90.00
_cell_angle_gamma 90.00
_space_group_name_H-M_alt 'I -4 2 d'
_space_group_IT_number 122
_space_group_name_Hall 'I -4 2bw'
loop_
_atom_site_label
_atom_site_type_symbol
_atom_site_fract_x
_atom_site_fract_y
_atom_site_fract_z
Os1 Os 0.000 0.000 0.000
Ru1 Ru 0.193 0.250 0.625
O1 O 0.000 0.000 0.500
# formation energy (no corrections) = 533 meV per atom
# DOS(E_F) = 8.024 states/eV per cell


# Sr2OsRuO8 PBE optimized geometry
data_Sr2OsRuO8
_chemical_formula_sum 'Sr2 Os1 Ru1 O8'
_cell_length_a 5.051
_cell_length_b 5.078
_cell_length_c 6.593
_cell_angle_alpha 90.07
_cell_angle_beta 90.06
_cell_angle_gamma 91.22
_space_group_name_H-M_alt 'P -1'
_space_group_IT_number 2
loop_
_space_group_symop_operation_xyz
'x,y,z'
'-x,-y,-z'
loop_
_atom_site_label
_atom_site_type_symbol
_atom_site_fract_x
_atom_site_fract_y
_atom_site_fract_z
Sr1 Sr 0.063 0.059 0.249
Os1 Os 0.500 0.500 0.500
Ru1 Ru 0.500 0.500 0.000
O1 O 0.253 0.247 0.552
O2 O 0.253 0.248 0.949
O3 O 0.290 0.625 0.256
O4 O 0.369 0.705 0.744
# formation energy (no corrections) = -1523 meV per atom
# DOS(E_F) = 5.127 states/eV per cell


# Sr2OsRuO6 PBE optimized geometry
data_Sr2OsRuO6
_chemical_formula_sum 'Sr2 Os1 Ru1 O6'
_cell_length_a 3.977
_cell_length_b 3.977
_cell_length_c 8.015
_cell_angle_alpha 90.00
_cell_angle_beta 90.00
_cell_angle_gamma 90.00
_space_group_name_H-M_alt 'P 4/m m m'
_space_group_IT_number 123
_space_group_name_Hall '-P 4 2'
loop_
_atom_site_label
_atom_site_type_symbol
_atom_site_fract_x
_atom_site_fract_y
_atom_site_fract_z
Sr1 Sr 0.000 0.000 0.238
Os1 Os 0.500 0.500 0.500
Ru1 Ru 0.500 0.500 0.000
O1 O 0.000 0.500 0.000
O2 O 0.000 0.500 0.500
O3 O 0.500 0.500 0.252
# formation energy (no corrections) = -1695 meV per atom
# DOS(E_F) = 5.623 states/eV per cell